# CrCo3P4O16 GGA-PBEsol relaxed
# Theoretical density, Mg/m³: 4.07
# Formation energy from raw total energies, eV per atom: -1.700
# SG: Pm (6)
data_CrCo3P4O16
_cell_length_a 4.635
_cell_length_b 5.572
_cell_length_c 9.626
_cell_angle_alpha 90.00
_cell_angle_beta 91.14
_cell_angle_gamma 90.00
_symmetry_space_group_name_H-M 'P 1'
_symmetry_Int_Tables_number 1
_symmetry_space_group_name_Hall 'P 1'
loop_
_atom_site_label
_atom_site_type_symbol
_atom_site_fract_x
_atom_site_fract_y
_atom_site_fract_z
Cr1 Cr 0.000 0.000 0.000
Co1 Co 0.080 0.500 0.543
Co2 Co 0.499 0.500 0.040
Co3 Co 0.612 0.000 0.501
P1 P 0.149 0.000 0.679
P2 P 0.440 0.000 0.184
P3 P 0.634 0.500 0.369
P4 P 0.945 0.500 0.855
O1 O 0.222 0.000 0.836
O2 O 0.269 0.500 0.876
O3 O 0.277 0.210 0.104
O4 O 0.277 0.790 0.104
O5 O 0.297 0.218 0.605
O6 O 0.297 0.782 0.605
O7 O 0.310 0.500 0.387
O8 O 0.379 0.000 0.338
O9 O 0.705 0.500 0.216
O10 O 0.761 0.000 0.157
O11 O 0.799 0.284 0.936
O12 O 0.799 0.716 0.936
O13 O 0.803 0.289 0.449
O14 O 0.803 0.711 0.449
O15 O 0.819 0.000 0.665
O16 O 0.853 0.500 0.703